This record from the Alexandria database describes Te2MoP after structural relaxation. The functional is PBE.

a b c (Å): 4.4577 4.5983 4.6844
angles (deg): 70.73 90.00 90.00
Last column: nearest neighbours and their distance in Å.
Sites, in units of the cell vectors:
P1 0.5000 0.2878 0.3523  2 Mo 2.43, 1 Te 2.62
Mo1 0.0000 0.4527 0.4385  2 P 2.43
Te1 0.0000 0.0613 0.0462  3 Mo 2.80-2.97, 2 P 3.02
Te2 0.5000 0.6983 0.6630  2 P 2.62-2.74, 2 Mo 2.85

Output
symmetry: No. 6
formation energy from raw total energies: 0.199 eV/atom
DFT total energy: -5.43 eV per atom
ρ: 7.00 g/cm3
V: 22.660 Å³ per atom
N(E_F): 3.73 states/eV/cell


This record from the Alexandria database describes ScTlAs after structural relaxation. The functional is PBE.

a b c (Å): 4.2340 4.2340 5.1834
angles (deg): 90.00 90.00 120.00
Last column: nearest neighbours and their distance in Å.
Sites, in units of the cell vectors:
Tl1 0.3333 0.6667 0.6798  3 As 3.19, 3 Sc 3.33
As1 0.0000 0.0000 0.0754  3 Sc 2.60
Sc1 0.6667 0.3333 0.2448  3 As 2.60

Output
symmetry: No. 156
DFT total energy: -4.84 eV per atom
calculated formation energy: -112 kJ/mol of formula units
energy above the lowest structure with this stoichiometry: 0.150 eV per atom
ρ: 6.69 g/cm3
V: 26.824 Å³ per atom
N(E_F): 1.43 states/eV/cell


This record from the Alexandria database describes SbMo4 after structural relaxation. The functional is PBE.

a b c (Å): 6.3719 6.3719 6.3719
angles (deg): 141.94 141.94 54.93
Last column: nearest neighbours and their distance in Å.
Sites, in units of the cell vectors:
Mo1 0.3827 0.3827 0.0000  5 Mo 2.56-2.65
Mo2 0.6173 0.6173 0.0000  5 Mo 2.56-2.65
Mo3 0.2500 0.7500 0.5000  4 Mo 2.56
Mo4 0.7500 0.2500 0.5000  4 Mo 2.56
Sb1 0.0000 0.0000 0.0000  16 Mo 3.22-3.51

Output
symmetry: No. 139
formation energy from raw total energies: 0.614 eV/atom
DFT total energy: -8.88 eV per atom
energy above the lowest structure with this stoichiometry: 0.000 eV per atom
ρ: 8.60 g/cm3
V: 19.529 Å³ per atom
N(E_F): 3.76 states/eV/cell


This record from the Alexandria database describes TeAs2Pt after structural relaxation. The functional is PBE.

a b c (Å): 3.0134 3.0134 9.7116
angles (deg): 90.00 90.00 89.99
Last column: nearest neighbours and their distance in Å.
Sites, in units of the cell vectors:
As1 0.5000 0.5000 0.2962  4 Pt 2.65
Pt1 0.0000 0.0000 0.4578  4 As 2.65
Te1 0.5000 0.5000 0.7010  4 Te 3.01, 4 Pt 3.18
As2 0.0000 0.0000 0.0450  8 As 3.01-3.24

Output
symmetry: No. 99
formation energy from raw total energies: 0.263 eV/atom
DFT total energy: -4.36 eV per atom
ρ: 8.90 g/cm3
V: 22.047 Å³ per atom
N(E_F): 2.62 states/eV/cell


This record from the Alexandria database describes RbScPb after structural relaxation. The functional is PBE.

a b c (Å): 5.0183 5.0183 11.8442
angles (deg): 90.00 90.00 120.00
Last column: nearest neighbours and their distance in Å.
Sites, in units of the cell vectors:
Pb1 0.0000 0.0000 0.5756  4 Sc 2.88-3.12
Rb1 0.3333 0.6667 0.7596  3 Pb 3.63
Sc1 0.0000 0.0000 0.3321  4 Pb 2.88-2.90
Rb2 0.6667 0.3333 0.0945  3 Pb 3.97, 3 Sc 4.04
Pb2 0.3333 0.6667 0.3242  3 Sc 2.90
Sc2 0.6667 0.3333 0.4776  6 Pb 3.12-3.42, 3 Sc 3.37

Output
symmetry: No. 156
DFT total energy: -3.78 eV per atom
calculated formation energy: -32 kJ/mol of formula units
energy above the lowest structure with this stoichiometry: 0.128 eV per atom
ρ: 4.34 g/cm3
V: 43.052 Å³ per atom
N(E_F): 2.10 states/eV/cell


This record from the Alexandria database describes SbMoOs2 after structural relaxation. The functional is PBE.

a b c (Å): 3.7781 4.1519 4.1519
angles (deg): 90.00 90.00 90.00
Last column: nearest neighbours and their distance in Å.
Sites, in units of the cell vectors:
Os1 0.0000 0.5000 0.5000  4 Mo 2.81, 4 Sb 2.81, 4 Os 2.94
Sb1 0.5000 0.5000 0.0000  8 Os 2.81, 4 Mo 2.94
Os2 0.0000 0.0000 0.0000  4 Mo 2.81, 4 Sb 2.81, 4 Os 2.94
Mo1 0.5000 0.0000 0.5000  8 Os 2.81, 4 Sb 2.94

Output
symmetry: No. 123
formation energy from raw total energies: 0.606 eV/atom
DFT total energy: -8.75 eV per atom
ρ: 15.25 g/cm3
V: 16.282 Å³ per atom
N(E_F): 6.67 states/eV/cell